First-principles (PBE) data for a relaxed ScBe3Ru crystal, as listed in the Alexandria database.

It has space group Pm-3m (No. 221), with a = 4.2233 Å, b = 4.2233 Å, c = 4.2233 Å, α = 90.00°, β = 90.00° and γ = 90.00°. The asymmetric unit holds Sc at (0.0000, 0.0000, 0.0000), Be at (0.0000, 0.0000, 0.5000) and Ru at (0.5000, 0.5000, 0.5000).

The value obtained for the volume is 75 Å³/cell. For the density, the calculation gives 3.82 g/cm³. The calculated formation energy comes out at 977 kJ/mol of formula units.

First-principles (PBE) data for a relaxed CdBrNO2 crystal, as listed in the Alexandria database.

It has space group P4/mmm (No. 123), with a = 4.1534 Å, b = 4.1534 Å, c = 3.7489 Å, α = 90.00°, β = 90.00° and γ = 90.00°. The asymmetric unit holds Cd at (0.0000, 0.0000, 0.0000), Br at (0.5000, 0.5000, 0.5000), N at (0.5000, 0.5000, 0.0000) and O at (0.0000, 0.5000, 0.5000).

Its energy relative to the elements, uncorrected is 93.4 kJ/mol of atoms. The value obtained for the volume is 65 Å³/cell. For the density, the calculation gives 6.12 g/cm³.

First-principles (PBE) data for a relaxed Ho8Al2Fe crystal, as listed in the Alexandria database.

It has space group C2/m (No. 12), with a = 16.9435 Å, b = 5.3436 Å, c = 6.7721 Å, α = 90.00°, β = 112.53° and γ = 90.00°. The asymmetric unit holds Ho at (0.0091, 0.0000, 0.2677), Ho at (0.1059, 0.5000, 0.9002), Ho at (0.1397, 0.5000, 0.4105), Ho at (0.1972, 0.0000, 0.7453), Al at (0.1819, 0.0000, 0.1889) and Fe at (0.0000, 0.5000, 0.5000).

The value obtained for the volume is 566 Å³/cell. For the density, the calculation gives 8.38 g/cm³. The calculated formation energy comes out at -135 kJ/mol of formula units.

First-principles (PBE) data for a relaxed KPu2AlO8 crystal, as listed in the Alexandria database.

It has space group C2/m (No. 12), with a = 7.1528 Å, b = 6.6158 Å, c = 6.9385 Å, α = 90.00°, β = 91.52° and γ = 90.00°. The asymmetric unit holds K at (0.0000, 0.0000, 0.0000), Pu at (0.0095, 0.5000, 0.2634), Al at (0.0000, 0.0000, 0.5000), O at (0.0025, 0.2046, 0.6969), O at (0.1617, 0.5000, 0.9706) and O at (0.2060, 0.5000, 0.4947).

Its energy relative to the elements, uncorrected is -228.8 kJ/mol of atoms. The value obtained for the volume is 328 Å³/cell. For the density, the calculation gives 6.90 g/cm³.

First-principles (PBE) data for a relaxed CsVS2 crystal, as listed in the Alexandria database.

It has space group Cmcm (No. 63), with a = 5.4917 Å, b = 21.4530 Å, c = 4.7083 Å, α = 90.00°, β = 90.00° and γ = 90.00°. The asymmetric unit holds Cs at (0.0000, 0.1641, 0.2500), V at (0.0000, 0.4347, 0.2500), S at (0.0000, 0.3328, 0.2500) and S at (0.0000, 0.4527, 0.7500).

Its energy relative to the elements, uncorrected is -73.6 kJ/mol of atoms. The value obtained for the volume is 555 Å³/cell. For the density, the calculation gives 2.97 g/cm³.

First-principles (PBE) data for a relaxed LaYScSe3 crystal, as listed in the Alexandria database.

It has space group P2_1/m (No. 11), with a = 8.4468 Å, b = 4.1074 Å, c = 9.3642 Å, α = 90.00°, β = 105.13° and γ = 90.00°. The asymmetric unit holds La at (0.1834, 0.2500, 0.2178), Y at (0.3420, 0.7500, 0.8610), Sc at (0.1055, 0.2500, 0.5990), Se at (0.1016, 0.2500, 0.8806), Se at (0.2359, 0.7500, 0.4888) and Se at (0.4400, 0.7500, 0.1814).

Its energy relative to the elements, uncorrected is -159.0 kJ/mol of atoms. The value obtained for the volume is 314 Å³/cell. For the density, the calculation gives 5.40 g/cm³.

First-principles (PBE) data for a relaxed Ca2ErSn crystal, as listed in the Alexandria database.

It has space group R-3m (No. 166, hexagonal axes), with a = 3.6005 Å, b = 3.6005 Å, c = 37.1362 Å, α = 90.00°, β = 90.00° and γ = 120.00°. The asymmetric unit holds Ca at (0.0000, 0.0000, 0.0858), Er at (0.0000, 0.0000, 0.5000) and Sn at (0.0000, 0.0000, 0.0000).

The value obtained for the volume is 417 Å³/cell. For the density, the calculation gives 4.37 g/cm³. The calculated formation energy comes out at 38 kJ/mol of formula units.

First-principles (PBE) data for a relaxed LiTm2Ir crystal, as listed in the Alexandria database.

It has space group Fm-3m (No. 225), with a = 6.8529 Å, b = 6.8529 Å, c = 6.8529 Å, α = 90.00°, β = 90.00° and γ = 90.00°. The asymmetric unit holds Li at (0.0000, 0.0000, 0.0000), Tm at (0.2500, 0.2500, 0.2500) and Ir at (0.0000, 0.0000, 0.5000).

The value obtained for the volume is 322 Å³/cell. For the density, the calculation gives 11.08 g/cm³. The calculated formation energy comes out at -245 kJ/mol of formula units.

First-principles (PBE) data for a relaxed La3Ir crystal, as listed in the Alexandria database.

It has space group P6_3/mmc (No. 194), with a = 7.6870 Å, b = 7.6870 Å, c = 4.5618 Å, α = 90.00°, β = 90.00° and γ = 120.00°. The asymmetric unit holds La at (0.1864, 0.3729, 0.2500) and Ir at (0.3333, 0.6667, 0.7500).

The value obtained for the volume is 233 Å³/cell. For the density, the calculation gives 8.66 g/cm³. The calculated formation energy comes out at -85 kJ/mol of formula units.

First-principles (PBE) data for a relaxed PrSm6S8 crystal, as listed in the Alexandria database.

It has space group R-3 (No. 148, hexagonal axes), with a = 11.9806 Å, b = 11.9806 Å, c = 12.0583 Å, α = 90.00°, β = 90.00° and γ = 120.00°. The asymmetric unit holds Pr at (0.0000, 0.0000, 0.0000), Sm at (0.0098, 0.8173, 0.6327), S at (0.0000, 0.0000, 0.2285) and S at (0.0094, 0.7512, 0.4131).

Its energy relative to the elements, uncorrected is -159.9 kJ/mol of atoms. The value obtained for the volume is 1499 Å³/cell. For the density, the calculation gives 4.32 g/cm³.

First-principles (PBE) data for a relaxed Ba2AcPtAu crystal, as listed in the Alexandria database.

It has space group P4/nmm (No. 129, origin choice 2), with a = 5.0177 Å, b = 5.0177 Å, c = 16.4350 Å, α = 90.00°, β = 90.00° and γ = 90.00°. The asymmetric unit holds Ba at (0.2500, 0.2500, 0.0971), Ba at (0.2500, 0.2500, 0.7026), Ac at (0.2500, 0.7500, 0.5000), Pt at (0.2500, 0.2500, 0.3950) and Au at (0.2500, 0.2500, 0.8982).

The value obtained for the volume is 414 Å³/cell. For the density, the calculation gives 7.17 g/cm³. The calculated formation energy comes out at -292 kJ/mol of formula units.

First-principles (PBE) data for a relaxed VGeRh3 crystal, as listed in the Alexandria database.

It has space group Pm-3m (No. 221), with a = 4.5003 Å, b = 4.5003 Å, c = 4.5003 Å, α = 90.00°, β = 90.00° and γ = 90.00°. The asymmetric unit holds V at (0.0000, 0.0000, 0.0000), Ge at (0.5000, 0.5000, 0.5000) and Rh at (0.0000, 0.0000, 0.5000).

The value obtained for the volume is 91 Å³/cell. For the density, the calculation gives 7.88 g/cm³. The calculated formation energy comes out at 336 kJ/mol of formula units.

First-principles (PBE) data for a relaxed W2AuBr crystal, as listed in the Alexandria database.

It has space group Pmmm (No. 47), with a = 3.0002 Å, b = 4.8777 Å, c = 4.8888 Å, α = 90.00°, β = 90.00° and γ = 90.00°. The asymmetric unit holds W at (0.0000, 0.0000, 0.0000), W at (0.5000, 0.0000, 0.5000), Au at (0.0000, 0.5000, 0.5000) and Br at (0.5000, 0.5000, 0.0000).

Its energy relative to the elements, uncorrected is 113.1 kJ/mol of atoms. The value obtained for the volume is 72 Å³/cell. For the density, the calculation gives 14.96 g/cm³.

First-principles (PBE) data for a relaxed VAgSb crystal, as listed in the Alexandria database.

It has space group Cmce (No. 64), with a = 5.4736 Å, b = 10.3636 Å, c = 8.0752 Å, α = 90.00°, β = 90.00° and γ = 90.00°. The asymmetric unit holds V at (0.0000, 0.0871, 0.0669), Ag at (0.2500, 0.1203, 0.7500) and Sb at (0.0000, 0.1522, 0.4127).

Its energy relative to the elements, uncorrected is 19.4 kJ/mol of atoms. The value obtained for the volume is 458 Å³/cell. For the density, the calculation gives 8.14 g/cm³.

First-principles (PBE) data for a relaxed Dy2In8Pd crystal, as listed in the Alexandria database.

It has space group P4/mmm (No. 123), with a = 4.6829 Å, b = 4.6829 Å, c = 12.1035 Å, α = 90.00°, β = 90.00° and γ = 90.00°. The asymmetric unit holds Dy at (0.0000, 0.0000, 0.1889), In at (0.0000, 0.5000, 0.0000), In at (0.0000, 0.5000, 0.3731), In at (0.5000, 0.5000, 0.1913) and Pd at (0.0000, 0.0000, 0.5000).

The value obtained for the volume is 265 Å³/cell. For the density, the calculation gives 8.45 g/cm³. The calculated formation energy comes out at -427 kJ/mol of formula units.

First-principles (PBE) data for a relaxed LiCa2ZrIr crystal, as listed in the Alexandria database.

It has space group P4/mmm (No. 123), with a = 5.4137 Å, b = 5.4137 Å, c = 4.8263 Å, α = 90.00°, β = 90.00° and γ = 90.00°. The asymmetric unit holds Li at (0.0000, 0.0000, 0.0000), Ca at (0.0000, 0.5000, 0.5000), Zr at (0.5000, 0.5000, 0.0000) and Ir at (0.0000, 0.0000, 0.5000).

The value obtained for the volume is 141 Å³/cell. For the density, the calculation gives 4.35 g/cm³. The calculated formation energy comes out at 268 kJ/mol of formula units.

First-principles (PBE) data for a relaxed MgZn4Ga crystal, as listed in the Alexandria database.

It has space group F-43m (No. 216), with a = 7.4178 Å, b = 7.4178 Å, c = 7.4178 Å, α = 90.00°, β = 90.00° and γ = 90.00°. The asymmetric unit holds Mg at (0.0000, 0.0000, 0.0000), Zn at (0.1254, 0.1254, 0.3746) and Ga at (0.2500, 0.2500, 0.7500).

The value obtained for the volume is 408 Å³/cell. For the density, the calculation gives 5.79 g/cm³. The calculated formation energy comes out at -10 kJ/mol of formula units.

First-principles (PBE) data for a relaxed LiRhAu2 crystal, as listed in the Alexandria database.

It has space group F-43m (No. 216), with a = 6.3510 Å, b = 6.3510 Å, c = 6.3510 Å, α = 90.00°, β = 90.00° and γ = 90.00°. The asymmetric unit holds Li at (0.0000, 0.0000, 0.0000), Rh at (0.2500, 0.2500, 0.2500), Au at (0.0000, 0.0000, 0.5000) and Au at (0.2500, 0.2500, 0.7500).

The value obtained for the volume is 256 Å³/cell. For the density, the calculation gives 13.06 g/cm³. The calculated formation energy comes out at -26 kJ/mol of formula units.

First-principles (PBE) data for a relaxed AcTbPm2 crystal, as listed in the Alexandria database.

It has space group Fm-3m (No. 225), with a = 8.3580 Å, b = 8.3580 Å, c = 8.3580 Å, α = 90.00°, β = 90.00° and γ = 90.00°. The asymmetric unit holds Ac at (0.0000, 0.0000, 0.0000), Tb at (0.0000, 0.0000, 0.5000) and Pm at (0.2500, 0.2500, 0.2500).

The value obtained for the volume is 584 Å³/cell. For the density, the calculation gives 7.69 g/cm³. The calculated formation energy comes out at 62 kJ/mol of formula units.

First-principles (PBE) data for a relaxed Ge2RhBr crystal, as listed in the Alexandria database.

It has space group Fm-3m (No. 225), with a = 6.7097 Å, b = 6.7097 Å, c = 6.7097 Å, α = 90.00°, β = 90.00° and γ = 90.00°. The asymmetric unit holds Ge at (0.2500, 0.2500, 0.2500), Rh at (0.0000, 0.0000, 0.0000) and Br at (0.0000, 0.0000, 0.5000).

Its energy relative to the elements, uncorrected is 44.2 kJ/mol of atoms. The value obtained for the volume is 302 Å³/cell. For the density, the calculation gives 7.21 g/cm³.

First-principles (PBE) data for a relaxed Be4CrRe crystal, as listed in the Alexandria database.

It has space group F-43m (No. 216), with a = 6.0664 Å, b = 6.0664 Å, c = 6.0664 Å, α = 90.00°, β = 90.00° and γ = 90.00°. The asymmetric unit holds Be at (0.1247, 0.1247, 0.1247), Cr at (0.0000, 0.0000, 0.5000) and Re at (0.2500, 0.2500, 0.7500).

The value obtained for the volume is 223 Å³/cell. For the density, the calculation gives 8.16 g/cm³. The calculated formation energy comes out at -201 kJ/mol of formula units.

First-principles (PBE) data for a relaxed SrNbAu crystal, as listed in the Alexandria database.

It has space group P2_1/m (No. 11), with a = 3.5165 Å, b = 3.5163 Å, c = 12.5292 Å, α = 90.00°, β = 90.06° and γ = 90.00°. The asymmetric unit holds Sr at (0.2485, 0.2500, 0.1474), Nb at (0.2497, 0.2500, 0.4484) and Au at (0.2509, 0.2500, 0.6873).

The value obtained for the volume is 155 Å³/cell. For the density, the calculation gives 8.09 g/cm³. The calculated formation energy comes out at -28 kJ/mol of formula units.

First-principles (PBE) data for a relaxed Li4NiSb crystal, as listed in the Alexandria database.

It has space group F-43m (No. 216), with a = 6.9969 Å, b = 6.9969 Å, c = 6.9969 Å, α = 90.00°, β = 90.00° and γ = 90.00°. The asymmetric unit holds Li at (0.1242, 0.1242, 0.1242), Ni at (0.2500, 0.2500, 0.7500) and Sb at (0.0000, 0.0000, 0.5000).

Its energy relative to the elements, uncorrected is -5.6 kJ/mol of atoms. The value obtained for the volume is 343 Å³/cell. For the density, the calculation gives 4.04 g/cm³.

First-principles (PBE) data for a relaxed LuThScRe crystal, as listed in the Alexandria database.

It has space group F-43m (No. 216), with a = 7.1657 Å, b = 7.1657 Å, c = 7.1657 Å, α = 90.00°, β = 90.00° and γ = 90.00°. The asymmetric unit holds Lu at (0.0000, 0.0000, 0.0000), Th at (0.0000, 0.0000, 0.5000), Sc at (0.2500, 0.2500, 0.7500) and Re at (0.2500, 0.2500, 0.2500).

The value obtained for the volume is 368 Å³/cell. For the density, the calculation gives 11.52 g/cm³. The calculated formation energy comes out at 33 kJ/mol of formula units.

First-principles (PBE) data for a relaxed Nd2PtSe crystal, as listed in the Alexandria database.

It has space group Cmcm (No. 63), with a = 3.9963 Å, b = 23.2285 Å, c = 4.4549 Å, α = 90.00°, β = 90.00° and γ = 90.00°. The asymmetric unit holds Nd at (0.0000, 0.0616, 0.2500), Nd at (0.0000, 0.3204, 0.2500), Pt at (0.0000, 0.4554, 0.2500) and Se at (0.0000, 0.1908, 0.2500).

Its energy relative to the elements, uncorrected is -141.2 kJ/mol of atoms. The value obtained for the volume is 414 Å³/cell. For the density, the calculation gives 9.04 g/cm³.